1.
First-principles (PBE-GGA) data for an optimized crystal structure of PmAgSn, as listed in the Alexandria database.

extended XYZ file:
```
3
Lattice="3.191 0.000 0.000 0.000 3.191 0.000 -1.596 -1.596 8.328" Properties=species:S:1:pos:R:3 pbc="T T T"
Sn 1.596 1.596 4.595
Ag 1.596 1.596 7.415
Pm 0.000 0.000 2.148
```

Calculated values
For the energy above the most stable polymorph in this dataset, the calculation gives 700 meV/atom.

=====

2.
First-principles (PBE-GGA) data for an optimized crystal structure of PmAg4Sn2, as listed in the Alexandria database.

extended XYZ file:
```
14
Lattice="4.618 0.000 0.000 0.000 8.216 0.000 0.000 0.000 8.216" Properties=species:S:1:pos:R:3 pbc="T T T"
Pm 2.309 0.000 0.000
Pm 0.000 4.108 4.108
Ag 0.000 0.826 2.915
Ag 0.000 7.390 5.301
Ag 2.309 1.193 4.934
Ag 2.309 7.023 3.282
Ag 2.309 3.282 7.023
Ag 2.309 4.934 1.193
Ag 0.000 2.915 0.826
Ag 0.000 5.301 7.390
Sn 0.000 1.741 6.476
Sn 0.000 6.476 1.741
Sn 2.309 5.849 5.849
Sn 2.309 2.367 2.367
```

=====

3.
First-principles (PBE-GGA) data for an optimized crystal structure of PmAgSn, as listed in the Alexandria database.

extended XYZ file:
```
3
Lattice="-3.069 0.258 1.997 -2.245 -3.015 -3.061 2.357 -1.767 3.850" Properties=species:S:1:pos:R:3 pbc="T T T"
Sn -0.512 0.043 0.333
Ag -1.221 -2.556 -0.425
Pm -1.223 -2.011 2.878
```

Calculated values
For the energy above the most stable polymorph in this dataset, the calculation gives 24 meV/atom.

=====

4.
First-principles (PBE-GGA) data for an optimized crystal structure of Pm8AgSn2, as listed in the Alexandria database.

extended XYZ file:
```
11
Lattice="5.180 0.000 0.000 0.000 6.938 0.140 -2.590 -2.754 9.476" Properties=species:S:1:pos:R:3 pbc="T T T"
Pm 0.000 1.384 7.781
Pm 2.590 6.056 3.059
Pm 2.590 3.155 5.520
Pm 2.590 -1.096 9.179
Pm 0.000 1.029 4.097
Pm 0.000 -1.872 6.557
Pm 2.590 2.801 1.836
Pm 0.000 5.281 0.438
Ag 2.590 0.000 0.000
Sn 2.590 -0.042 6.085
Sn 0.000 4.226 3.532
```

=====

5.
First-principles (PBE-GGA) data for an optimized crystal structure of Pm6Ag2Sn, as listed in the Alexandria database.

extended XYZ file:
```
18
Lattice="8.895 0.167 0.067 -3.216 8.295 -0.067 -2.981 -4.136 7.291" Properties=species:S:1:pos:R:3 pbc="T T T"
Pm 0.085 2.757 5.952
Pm 2.613 1.569 1.338
Pm -2.519 -1.123 5.952
Pm 5.217 5.449 1.338
Pm 3.030 4.103 4.035
Pm -0.332 0.223 3.256
Pm -3.484 2.338 6.930
Pm 6.182 1.988 0.361
Pm 3.116 0.612 4.952
Pm -0.418 3.713 2.339
Pm -2.602 5.179 4.885
Pm 5.300 -0.853 2.405
Ag 0.677 -0.454 6.336
Ag 2.021 4.780 0.954
Ag 3.786 -2.541 4.711
Ag 2.127 -1.428 2.646
Sn -3.098 2.079 3.612
Sn 0.000 0.000 0.000
```

=====

6.
First-principles (PBE-GGA) data for an optimized crystal structure of PmAg3Sn3, as listed in the Alexandria database.

extended XYZ file:
```
14
Lattice="-2.920 2.733 -7.583 -6.780 -3.809 -3.608 -6.855 3.462 -0.959" Properties=species:S:1:pos:R:3 pbc="T T T"
Pm -3.245 -0.346 -3.721
Pm -13.309 2.732 -8.429
Ag -11.435 0.849 -6.615
Ag -7.861 4.321 -6.730
Ag -8.184 1.203 -2.854
Ag -8.371 1.183 -9.296
Ag -8.694 -1.934 -5.420
Ag -5.119 1.537 -5.535
Sn -6.469 -0.700 -4.203
Sn -6.058 2.464 -8.028
Sn -9.667 -0.968 -8.012
Sn -6.887 3.354 -4.138
Sn -10.497 -0.078 -4.122
Sn -10.086 3.086 -7.947
```

Calculated values
For the energy above the most stable polymorph in this dataset, the calculation gives 0 meV/atom.

=====

7.
First-principles (PBE-GGA) data for an optimized crystal structure of Pm3Ag2Sn, as listed in the Alexandria database.

extended XYZ file:
```
6
Lattice="-0.897 -3.290 -1.363 3.405 -0.381 -1.322 3.379 -5.138 10.178" Properties=species:S:1:pos:R:3 pbc="T T T"
Pm 0.000 0.000 0.000
Pm 2.282 -3.470 6.874
Pm 1.097 -1.668 3.304
Ag 4.110 -6.179 7.262
Ag 1.776 -2.630 0.231
Sn 2.943 -4.404 3.746
```

Calculated values
For the energy above the most stable polymorph in this dataset, the calculation gives 8 meV/atom.

=====

8.
First-principles (PBE-GGA) data for an optimized crystal structure of Pm12Ag2Sn5, as listed in the Alexandria database.

extended XYZ file:
```
19
Lattice="-4.138 3.108 -5.701 -4.233 -7.266 4.310 -3.063 6.992 6.035" Properties=species:S:1:pos:R:3 pbc="T T T"
Pm -8.536 -2.635 -0.441
Pm -5.824 1.637 7.801
Pm -7.958 3.240 4.861
Pm -4.720 -1.853 5.020
Pm -6.792 -0.296 2.165
Pm -8.248 -0.640 5.638
Pm -3.185 3.475 -0.993
Pm -6.713 4.687 -0.375
Pm -4.641 3.130 2.480
Pm -5.609 1.198 -3.156
Pm -3.475 -0.405 -0.216
Pm -2.898 5.470 5.085
Ag -2.804 2.106 -3.863
Ag -1.334 1.002 -1.838
Sn -5.658 1.122 4.719
Sn -4.660 -2.697 1.912
Sn -1.531 3.496 3.018
Sn -6.773 5.532 2.733
Sn -5.775 1.713 -0.074
```

=====

9.
First-principles (PBE-GGA) data for an optimized crystal structure of Pm6AgSn12, as listed in the Alexandria database.

extended XYZ file:
```
19
Lattice="8.372 -0.289 -0.346 -1.555 8.231 -0.346 -1.555 -1.812 8.037" Properties=species:S:1:pos:R:3 pbc="T T T"
Pm 4.481 6.270 3.808
Pm 3.345 1.304 0.495
Pm -0.256 3.345 1.371
Pm 0.781 -0.139 3.536
Pm 1.917 4.827 6.849
Pm 5.518 2.786 5.973
Ag 0.000 0.000 0.000
Sn 5.255 3.150 2.806
Sn 1.376 5.527 3.600
Sn 2.317 1.748 6.082
Sn 0.007 2.981 4.538
Sn 3.886 0.603 3.744
Sn 2.945 4.383 1.263
Sn 5.924 5.542 0.845
Sn 0.683 6.495 0.606
Sn 6.317 0.299 1.741
Sn -0.662 0.589 6.499
Sn 4.579 -0.365 6.739
Sn -1.055 5.831 5.603
```

=====

10.
First-principles (PBE-GGA) data for an optimized crystal structure of Pm2Ag3Sn4, as listed in the Alexandria database.

extended XYZ file:
```
18
Lattice="-0.906 6.108 -1.506 -8.310 -1.239 -0.025 0.145 -1.148 8.669" Properties=species:S:1:pos:R:3 pbc="T T T"
Pm -4.980 -0.312 1.731
Pm -4.091 4.033 5.407
Pm -0.997 1.373 6.168
Pm -8.074 2.348 0.970
Ag 0.000 0.000 0.000
Ag -4.608 2.435 -0.766
Ag -6.628 1.642 3.939
Ag -2.896 5.134 2.445
Ag -2.443 2.080 3.199
Ag -6.174 -1.412 4.693
Sn -6.734 2.300 6.672
Sn -2.790 4.476 -0.287
Sn -2.337 1.422 0.466
Sn -6.281 -0.754 7.425
Sn -8.177 -0.523 2.800
Sn -0.894 4.244 4.338
Sn -4.110 0.643 5.080
Sn -4.960 3.079 2.058
```

=====

11.
First-principles (PBE-GGA) data for an optimized crystal structure of Pm4Ag2Sn5, as listed in the Alexandria database.

extended XYZ file:
```
11
Lattice="3.483 0.000 0.000 0.000 8.030 0.072 0.000 -0.683 10.344" Properties=species:S:1:pos:R:3 pbc="T T T"
Pm 1.742 5.455 5.885
Pm 1.742 0.826 9.197
Pm 1.742 1.892 4.531
Pm 1.742 6.521 1.219
Ag 0.000 0.058 6.538
Ag 0.000 7.289 3.878
Sn 0.000 4.429 3.184
Sn 0.000 1.320 1.724
Sn 0.000 4.015 0.036
Sn 0.000 6.027 8.692
Sn 0.000 2.918 7.233
```

=====

12.
First-principles (PBE-GGA) data for an optimized crystal structure of Pm3Ag4Sn2, as listed in the Alexandria database.

extended XYZ file:
```
9
Lattice="-4.070 -2.348 -0.820 3.208 1.053 -5.069 3.152 -7.168 4.888" Properties=species:S:1:pos:R:3 pbc="T T T"
Pm 0.469 -6.066 1.174
Pm 0.000 0.000 0.000
Pm 1.821 -2.397 -2.175
Ag -1.409 -1.528 -2.503
Ag 3.699 -6.935 1.502
Ag 0.769 -5.428 -2.143
Ag 1.522 -3.036 1.142
Sn -0.861 -3.233 -0.343
Sn 3.151 -5.231 -0.659
```

=====

Table of energy relative to the elements (meV per atom), in record order: 115.9, -237.7, -559.9, -313.9, -254.5, -86.7, -402.7, -305.8, -458.6, -393.2, -516.9, -465.7